# Re2Si GGA-PBE optimized geometry
# - Symmetry: Fm-3m, No. 225
# - E above lowest polymorph: 0.687 eV per atom
data_Re2Si
_chemical_formula_sum 'Re2 Si1'
_cell_length_a 4.051
_cell_length_b 4.051
_cell_length_c 4.051
_cell_angle_alpha 60.00
_cell_angle_beta 60.00
_cell_angle_gamma 60.00
_space_group_name_H-M_alt 'P 1'
_space_group_IT_number 1
_space_group_name_Hall 'P 1'
loop_
_atom_site_label
_atom_site_type_symbol
_atom_site_fract_x
_atom_site_fract_y
_atom_site_fract_z
Re1 Re 0.250 0.250 0.250
Re2 Re 0.750 0.750 0.750
Si1 Si 0.000 0.000 0.000


# ReSi2 GGA-PBE optimized geometry
# - Calculated total energy: -7.940 eV/atom
# - Symmetry: P-62m, No. 189
data_ReSi2
_chemical_formula_sum 'Re3 Si6'
_cell_length_a 6.808
_cell_length_b 6.808
_cell_length_c 3.164
_cell_angle_alpha 90.00
_cell_angle_beta 90.00
_cell_angle_gamma 120.00
_space_group_name_H-M_alt 'P 1'
_space_group_IT_number 1
_space_group_name_Hall 'P 1'
loop_
_atom_site_label
_atom_site_type_symbol
_atom_site_fract_x
_atom_site_fract_y
_atom_site_fract_z
Re1 Re 0.000 0.000 0.000
Re2 Re 0.333 0.667 0.500
Re3 Re 0.667 0.333 0.500
Si1 Si 0.000 0.277 0.500
Si2 Si 0.000 0.628 0.000
Si3 Si 0.277 0.000 0.500
Si4 Si 0.372 0.372 0.000
Si5 Si 0.628 0.000 0.000
Si6 Si 0.723 0.723 0.500